The following is a PBE-GGA calculation of crystalline Ca4GePd3 at its relaxed geometry, from the Alexandria database.

Lattice parameters (Å, degrees): 4.1029 4.4184 10.8394 90.00 90.00 90.00
With the nearest neighbours (Å) after each atom.
Atoms (fractional coordinates):
Pd 0.0000 0.5000 0.5788  2 Pd 2.79, 7 Ca 2.96-3.11
Pd 0.5000 0.0000 0.9442  2 Ge 2.54
Pd 0.0000 0.0000 0.4219  2 Pd 2.79, 7 Ca 3.00-3.09
Ca 0.0000 0.0000 0.1453  3 Pd 2.99-3.00, 4 Ge 3.16
Ca 0.0000 0.5000 0.8516  5 Pd 2.96-3.18, 2 Ge 3.04
Ge 0.5000 0.5000 0.0590  2 Pd 2.54
Ca 0.5000 0.5000 0.3636  6 Pd 3.08-3.11, 1 Ge 3.30
Ca 0.5000 0.0000 0.6354  7 Pd 3.08-3.35

Output
- uncorrected energy (eV per cell) = -33.51
- space group = Pmm2

The following is a PBE-GGA calculation of crystalline Ca2Ge5Pd3 at its relaxed geometry, from the Alexandria database.

Lattice parameters (Å, degrees): 4.3942 6.9321 12.5869 90.00 100.05 90.00
With the nearest neighbours (Å) after each atom.
Atoms (fractional coordinates):
Ge 0.1169 0.2730 0.2337  4 Pd 2.61-2.80, 1 Ge 2.70
Pd 0.6068 0.5206 0.2135  6 Ge 2.54-2.80
Pd 0.9441 0.4624 0.8883  5 Ge 2.52-2.71
Ge 0.2929 0.5182 0.5858  3 Pd 2.63-2.73, 2 Ge 2.76-2.81
Ge 0.9512 0.0776 0.9025  4 Pd 2.66-2.71, 1 Ge 2.70
Ge 0.3984 0.3920 0.7967  3 Pd 2.52-2.58, 1 Ge 2.76
Pd 0.0559 0.9624 0.1117  5 Ge 2.52-2.71
Ge 0.6016 0.8920 0.2033  3 Pd 2.52-2.58, 1 Ge 2.76
Pd 0.3932 0.0206 0.7865  6 Ge 2.54-2.80
Ca 0.8240 0.2291 0.6480  9 Ge 3.07-3.32, 5 Pd 3.14-3.39
Pd 0.7789 0.7194 0.5578  7 Ge 2.61-2.74
Ge 0.7071 0.0182 0.4142  3 Pd 2.63-2.73, 2 Ge 2.76-2.81
Pd 0.2211 0.2194 0.4422  7 Ge 2.61-2.74
Ca 0.1760 0.7291 0.3520  9 Ge 3.07-3.32, 5 Pd 3.14-3.39
Ge 0.0488 0.5776 0.0975  4 Pd 2.66-2.71, 1 Ge 2.70
Ge 0.2945 0.9242 0.5890  4 Pd 2.54-2.74, 1 Ge 2.81
Ca 0.5193 0.2482 0.0385  3 Pd 2.88-3.09, 4 Ge 3.01-3.20
Ca 0.4807 0.7482 0.9615  3 Pd 2.88-3.09, 4 Ge 3.01-3.20
Ge 0.8831 0.7730 0.7663  4 Pd 2.61-2.80, 1 Ge 2.70
Ge 0.7055 0.4242 0.4110  4 Pd 2.54-2.74, 1 Ge 2.81

Output
- uncorrected energy (eV per cell) = -96.96
- space group = Cmc2_1

The following is a PBE-GGA calculation of crystalline CaGe2Pd6 at its relaxed geometry, from the Alexandria database.

Lattice parameters (Å, degrees): 4.2250 4.2250 8.7449 90.00 90.00 90.00
With the nearest neighbours (Å) after each atom.
Atoms (fractional coordinates):
Pd 0.5000 0.5000 0.5000  12 Pd 2.81-2.99, 2 Ge 3.11
Pd 0.0000 0.5000 0.2877  2 Ge 2.45
Ge 0.5000 0.5000 0.8551  4 Pd 2.45, 1 Ge 2.53
Ge 0.5000 0.5000 0.1449  4 Pd 2.45, 1 Ge 2.53
Pd 0.5000 0.0000 0.7123  2 Ge 2.45
Pd 0.0000 0.5000 0.7123  2 Ge 2.45
Ca 0.0000 0.0000 0.0000  8 Ge 3.25, 8 Pd 3.29
Pd 0.0000 0.0000 0.5000  12 Pd 2.81-2.99
Pd 0.5000 0.0000 0.2877  2 Ge 2.45

Output
- uncorrected energy (eV per cell) = -46.54
- space group = P4/mmm

The following is a PBE-GGA calculation of crystalline Ca4Ge5Pd3 at its relaxed geometry, from the Alexandria database.

Lattice parameters (Å, degrees): 4.6835 6.2605 9.9884 88.54 76.44 68.03
With the nearest neighbours (Å) after each atom.
Atoms (fractional coordinates):
Ge 0.5000 0.5000 0.5000  4 Pd 2.34-2.54
Ge 0.8258 0.5854 0.7630  3 Pd 2.57-2.63, 1 Ge 2.59
Ge 0.4373 0.9915 0.1338  1 Pd 2.52, 2 Ge 2.59-2.61
Pd 0.0000 0.5000 0.5000  4 Ge 2.34-2.57
Ca 0.1714 0.9995 0.6577  3 Ge 3.09-3.18, 3 Pd 3.29-3.38
Ca 0.8286 0.0005 0.3423  3 Ge 3.09-3.18, 3 Pd 3.29-3.38
Ge 0.1742 0.4146 0.2370  3 Pd 2.57-2.63, 1 Ge 2.59
Ca 0.1464 0.7166 0.9907  1 Pd 2.97, 7 Ge 3.06-3.27, 1 Ca 3.28
Ca 0.8536 0.2834 0.0093  1 Pd 2.97, 7 Ge 3.06-3.27, 1 Ca 3.28
Ge 0.5627 0.0085 0.8662  1 Pd 2.52, 2 Ge 2.59-2.61
Pd 0.4368 0.3799 0.7464  4 Ge 2.52-2.63
Pd 0.5632 0.6201 0.2536  4 Ge 2.52-2.63

Output
- uncorrected energy (eV per cell) = -53.68
- space group = C2/m

The following is a PBE-GGA calculation of crystalline CaGe2Pd3 at its relaxed geometry, from the Alexandria database.

Lattice parameters (Å, degrees): 4.1673 8.1888 7.5888 115.36 90.00 104.74
With the nearest neighbours (Å) after each atom.
Atoms (fractional coordinates):
Ge 0.1886 0.3772 0.6762  6 Pd 2.50-2.77
Pd 0.9614 0.9227 0.6381  3 Ge 2.46-2.51
Pd 0.3973 0.7947 0.3051  3 Ge 2.47-2.53
Ge 0.8114 0.6228 0.3238  6 Pd 2.50-2.77
Pd 0.6824 0.3649 0.4296  4 Ge 2.50-2.77
Ca 0.8459 0.6918 0.9254  7 Ge 3.15-3.35, 8 Pd 3.28-3.50
Pd 0.0386 0.0773 0.3619  3 Ge 2.46-2.51
Ge 0.5151 0.0302 0.1739  4 Pd 2.46-2.50, 1 Ge 2.47
Pd 0.3176 0.6351 0.5704  4 Ge 2.50-2.77
Ge 0.4849 0.9698 0.8261  4 Pd 2.46-2.50, 1 Ge 2.47
Pd 0.6027 0.2053 0.6949  3 Ge 2.47-2.53
Ca 0.1541 0.3082 0.0746  7 Ge 3.15-3.35, 8 Pd 3.28-3.50

Output
- uncorrected energy (eV per cell) = -61.35
- space group = C2/m

The following is a PBE-GGA calculation of crystalline Ca2Ge3Pd9 at its relaxed geometry, from the Alexandria database.

Lattice parameters (Å, degrees): 7.7631 7.7631 10.1835 89.85 112.41 120.22
With the nearest neighbours (Å) after each atom.
Atoms (fractional coordinates):
Ge 0.5000 0.0000 0.0000  8 Pd 2.50-2.71
Pd 0.3273 0.2912 0.2471  2 Ge 2.48-2.50
Pd 0.5312 0.1882 0.5433  3 Ge 2.57-2.71, 3 Pd 2.79-2.84
Pd 0.8792 0.1292 0.7500  2 Ge 2.49
Pd 0.4688 0.8118 0.4567  3 Ge 2.57-2.71, 3 Pd 2.79-2.84
Pd 0.2157 0.6839 0.0743  3 Ge 2.56-2.70, 4 Pd 2.81-2.86
Ca 0.6652 0.7555 0.2495  11 Pd 2.97-3.21
Pd 0.1208 0.8708 0.2500  2 Ge 2.49
Pd 0.1449 0.9879 0.9567  3 Ge 2.57-2.71, 3 Pd 2.79-2.84
Pd 0.7904 0.4836 0.4229  3 Ge 2.54-2.72, 3 Pd 2.82-2.84
Pd 0.8551 0.0121 0.0433  3 Ge 2.57-2.71, 3 Pd 2.79-2.84
Pd 0.5608 0.3675 0.0771  3 Ge 2.54-2.72, 3 Pd 2.82-2.84
Ge 0.1718 0.3444 0.9992  8 Pd 2.48-2.72
Pd 0.7843 0.3161 0.9257  3 Ge 2.56-2.70, 4 Pd 2.81-2.86
Pd 0.6727 0.7088 0.7529  2 Ge 2.48-2.50
Ca 0.9940 0.5843 0.7495  11 Pd 2.97-3.21
Pd 0.1097 0.1414 0.4257  3 Ge 2.56-2.70, 4 Pd 2.81-2.86
Ge 0.1548 0.8274 0.4992  8 Pd 2.48-2.72
Ge 0.8452 0.1726 0.5008  8 Pd 2.48-2.72
Ge 0.5000 0.5000 0.5000  8 Pd 2.50-2.71
Pd 0.4559 0.9198 0.7471  2 Ge 2.48-2.50
Pd 0.2096 0.5164 0.5771  3 Ge 2.54-2.72, 3 Pd 2.82-2.84
Pd 0.8903 0.8586 0.5743  3 Ge 2.56-2.70, 4 Pd 2.81-2.86
Pd 0.4392 0.6325 0.9229  3 Ge 2.54-2.72, 3 Pd 2.82-2.84
Ca 0.0060 0.4157 0.2505  11 Pd 2.97-3.21
Pd 0.5441 0.0802 0.2529  2 Ge 2.48-2.50
Ca 0.3348 0.2445 0.7505  11 Pd 2.97-3.21
Ge 0.8282 0.6556 0.0008  8 Pd 2.48-2.72

Output
- uncorrected energy (eV per cell) = -147.32
- space group = C2/c

The following is a PBE-GGA calculation of crystalline CaGe2Pd at its relaxed geometry, from the Alexandria database.

Lattice parameters (Å, degrees): 3.4949 4.9455 4.9455 97.35 90.00 90.00
With the nearest neighbours (Å) after each atom.
Atoms (fractional coordinates):
Ge 0.5000 0.1186 0.5093  1 Ge 2.43, 2 Pd 2.50-2.59
Ge 0.5000 0.4907 0.8814  1 Ge 2.43, 2 Pd 2.50-2.59
Pd 0.5000 0.6126 0.3874  4 Ge 2.50-2.59
Ca 0.0000 0.9932 0.0068  8 Ge 3.04-3.14, 2 Pd 3.32

Output
- uncorrected energy (eV per cell) = -18.01
- space group = Amm2

The following is a PBE-GGA calculation of crystalline CaGe4Pd4 at its relaxed geometry, from the Alexandria database.

Lattice parameters (Å, degrees): 6.2095 6.2095 8.5762 90.00 90.00 90.00
With the nearest neighbours (Å) after each atom.
Atoms (fractional coordinates):
Ge 0.0000 0.2881 0.6885  5 Pd 2.51-2.62, 1 Ge 2.63
Pd 0.7255 0.0000 0.6034  5 Ge 2.51-2.62, 1 Pd 2.80
Ca 0.5000 0.5000 0.5000  4 Ge 3.22, 8 Pd 3.52
Pd 0.5000 0.7745 0.1034  5 Ge 2.51-2.62, 1 Pd 2.80
Ca 0.0000 0.0000 0.0000  4 Ge 3.22, 8 Pd 3.52
Ge 0.2119 0.5000 0.1885  5 Pd 2.51-2.62, 1 Ge 2.63
Pd 0.5000 0.2255 0.1034  5 Ge 2.51-2.62, 1 Pd 2.80
Ge 0.5000 0.7881 0.8115  5 Pd 2.51-2.62, 1 Ge 2.63
Ge 0.7881 0.5000 0.1885  5 Pd 2.51-2.62, 1 Ge 2.63
Ge 0.5000 0.2119 0.8115  5 Pd 2.51-2.62, 1 Ge 2.63
Ge 0.7119 0.0000 0.3115  5 Pd 2.51-2.62, 1 Ge 2.63
Pd 0.0000 0.7255 0.3966  5 Ge 2.51-2.62, 1 Pd 2.80
Pd 0.2255 0.5000 0.8966  5 Ge 2.51-2.62, 1 Pd 2.80
Pd 0.7745 0.5000 0.8966  5 Ge 2.51-2.62, 1 Pd 2.80
Ge 0.0000 0.7119 0.6885  5 Pd 2.51-2.62, 1 Ge 2.63
Pd 0.0000 0.2745 0.3966  5 Ge 2.51-2.62, 1 Pd 2.80
Pd 0.2745 0.0000 0.6034  5 Ge 2.51-2.62, 1 Pd 2.80
Ge 0.2881 0.0000 0.3115  5 Pd 2.51-2.62, 1 Ge 2.63

Output
- uncorrected energy (eV per cell) = -91.23
- space group = P4_2/nmc

The following is a PBE-GGA calculation of crystalline CaGe3Pd2 at its relaxed geometry, from the Alexandria database.

Lattice parameters (Å, degrees): 4.3119 8.4587 10.0930 104.44 90.00 104.77
With the nearest neighbours (Å) after each atom.
Atoms (fractional coordinates):
Pd 0.3498 0.6995 0.5452  7 Ge 2.49-2.73
Ge 0.0521 0.1042 0.3590  4 Pd 2.55-2.71, 3 Ge 2.72-2.83
Ge 0.2180 0.4359 0.3550  4 Pd 2.49-2.73, 1 Ge 2.72
Ge 0.5000 0.0000 0.5000  4 Pd 2.61-2.66, 4 Ge 2.83
Pd 0.4943 0.9885 0.2340  5 Ge 2.46-2.66
Ge 0.9479 0.8958 0.6410  4 Pd 2.55-2.71, 3 Ge 2.72-2.83
Ge 0.6461 0.2922 0.9306  4 Pd 2.46-2.66, 1 Ge 2.57
Ca 0.1529 0.3057 0.7071  7 Ge 3.14-3.47, 6 Pd 3.33-3.50
Ca 0.0000 0.0000 0.0000  6 Pd 3.18-3.22, 10 Ge 3.32-3.50
Ge 0.7820 0.5641 0.6450  4 Pd 2.49-2.73, 1 Ge 2.72
Pd 0.6502 0.3005 0.4548  7 Ge 2.49-2.73
Ge 0.6386 0.2772 0.1822  4 Pd 2.55-2.71, 1 Ge 2.57
Ge 0.3539 0.7078 0.0694  4 Pd 2.46-2.66, 1 Ge 2.57
Ge 0.3614 0.7228 0.8178  4 Pd 2.55-2.71, 1 Ge 2.57
Pd 0.7987 0.5974 0.9176  6 Ge 2.53-2.69
Pd 0.2013 0.4026 0.0824  6 Ge 2.53-2.69
Pd 0.5057 0.0115 0.7660  5 Ge 2.46-2.66
Ca 0.8471 0.6943 0.2929  7 Ge 3.14-3.47, 6 Pd 3.33-3.50

Output
- uncorrected energy (eV per cell) = -88.18
- space group = C2/m

The following is a PBE-GGA calculation of crystalline CaGe4Pd2 at its relaxed geometry, from the Alexandria database.

Lattice parameters (Å, degrees): 4.4394 6.8155 17.2185 90.00 90.00 90.00
With the nearest neighbours (Å) after each atom.
Atoms (fractional coordinates):
Pd 0.7500 0.2367 0.4704  7 Ge 2.58-2.78
Pd 0.7500 0.0440 0.2131  7 Ge 2.61-2.71
Ca 0.7500 0.9790 0.6437  10 Ge 3.06-3.34, 4 Pd 3.31-3.32
Pd 0.2500 0.9560 0.7869  7 Ge 2.61-2.71
Pd 0.2500 0.7367 0.0296  7 Ge 2.58-2.78
Ge 0.7500 0.8563 0.4616  3 Pd 2.59-2.60, 2 Ge 2.74-2.82
Pd 0.2500 0.7633 0.5296  7 Ge 2.58-2.78
Ge 0.7500 0.6437 0.9616  3 Pd 2.59-2.60, 2 Ge 2.74-2.82
Ge 0.7500 0.9669 0.0635  4 Pd 2.58-2.78, 1 Ge 2.82
Ge 0.2500 0.2641 0.6904  3 Pd 2.61-2.68, 2 Ge 2.74-2.75
Ge 0.2500 0.8335 0.1786  4 Pd 2.65-2.71, 1 Ge 2.75
Ge 0.7500 0.7359 0.3096  3 Pd 2.61-2.68, 2 Ge 2.74-2.75
Ge 0.7500 0.5331 0.5635  4 Pd 2.58-2.78, 1 Ge 2.82
Pd 0.2500 0.5440 0.2869  7 Ge 2.61-2.71
Ge 0.2500 0.3563 0.0384  3 Pd 2.59-2.60, 2 Ge 2.74-2.82
Ge 0.2500 0.6665 0.6786  4 Pd 2.65-2.71, 1 Ge 2.75
Ge 0.2500 0.0331 0.9365  4 Pd 2.58-2.78, 1 Ge 2.82
Ge 0.2500 0.2359 0.1904  3 Pd 2.61-2.68, 2 Ge 2.74-2.75
Ge 0.7500 0.1665 0.8214  4 Pd 2.65-2.71, 1 Ge 2.75
Ge 0.2500 0.4669 0.4365  4 Pd 2.58-2.78, 1 Ge 2.82
Pd 0.7500 0.2633 0.9704  7 Ge 2.58-2.78
Ge 0.2500 0.1437 0.5384  3 Pd 2.59-2.60, 2 Ge 2.74-2.82
Ca 0.2500 0.0210 0.3563  10 Ge 3.06-3.34, 4 Pd 3.31-3.32
Ge 0.7500 0.3335 0.3214  4 Pd 2.65-2.71, 1 Ge 2.75
Ge 0.7500 0.7641 0.8096  3 Pd 2.61-2.68, 2 Ge 2.74-2.75
Pd 0.7500 0.4560 0.7131  7 Ge 2.61-2.71
Ca 0.2500 0.4790 0.8563  10 Ge 3.06-3.34, 4 Pd 3.31-3.32
Ca 0.7500 0.5210 0.1437  10 Ge 3.06-3.34, 4 Pd 3.31-3.32

Output
- uncorrected energy (eV per cell) = -136.65
- space group = Pnma